Computed, not measured: an optimized crystal structure of BaCd2Te at the PBE-GGA level of DFT.

Cell: 4.308 4.347 7.380 Å, 90.00 90.00 90.00°
Fractional positions:
Ba: 0.500 0.500 0.717
Cd: 0.500 0.500 0.194
Cd: 0.000 0.000 0.085
Te: 0.000 0.000 0.504

Computed properties:
SG ... No. 25

Computed, not measured: an optimized crystal structure of ErTm3O6 at the PBE-GGA level of DFT.

Cell: 6.622 6.622 6.622 Å, 91.47 91.47 91.47°
Fractional positions:
Tm: 0.064 0.251 0.556
Er: 0.000 0.000 0.000
O: 0.904 0.072 0.317
O: 0.397 0.181 0.529
Tm: 0.749 0.444 0.936
O: 0.317 0.904 0.072
Er: 0.500 0.500 0.500
O: 0.928 0.683 0.096
O: 0.529 0.397 0.181
O: 0.096 0.928 0.683
Tm: 0.556 0.064 0.251
O: 0.471 0.603 0.819
O: 0.181 0.529 0.397
Tm: 0.444 0.936 0.749
Tm: 0.936 0.749 0.444
O: 0.603 0.819 0.471
O: 0.819 0.471 0.603
O: 0.683 0.096 0.928
Tm: 0.251 0.556 0.064
O: 0.072 0.317 0.904

Computed properties:
SG ... No. 148

These records have density of states at the Fermi level values of 0.99; 0.00 states/eV/cell, in the order they appear.
These records have formation energy without anion corrections values of -581; -3633 meV/atom, in the order they appear.